This record from Alexandria via LeMat-Bulk describes crystalline TiCuPd at its relaxed geometry. The functional is PBE.

The space group is Ama2 (No. 40) and the conventional cell measures 4.616, 4.634 and 8.186 Å, with angles of 90.00, 90.00 and 90.00 degrees. Symmetry generates all atoms from Ti at (0.250, 0.237, 0.000), Cu at (0.250, 0.232, 0.664) and Pd at (0.250, 0.229, 0.335).

Its energy relative to the elements is -0.429 eV/atom. As for the crystal system: orthorhombic. The total magnetic moment comes out at 0.00 μB/f.u. The distance to the lowest polymorph of the same formula comes out at 0 meV per atom.